First-principles (GGA-PBEsol) data for a geometry-optimized Ba2YTa structure, as listed in the Alexandria database.

```
data_Ba2YTa
_symmetry_space_group_name_H-M 'R -3 m'
_symmetry_Int_Tables_number 166
_symmetry_space_group_name_Hall '-R 3 2"'
_cell_length_a 3.4602
_cell_length_b 3.4602
_cell_length_c 36.3628
_cell_angle_alpha 90.00
_cell_angle_beta 90.00
_cell_angle_gamma 120.00
loop_
_atom_site_label
_atom_site_fract_x
_atom_site_fract_y
_atom_site_fract_z
Ba1 0.0000 0.0000 0.2414
Y1 0.0000 0.0000 0.0000
Ta1 0.0000 0.0000 0.5000
```

Values from the calculation:
The energy above the most stable polymorph in this dataset comes out at 0 meV/atom. The calculation puts the total energy at -5.03 eV/atom. The density of states at the Fermi level is 15.22 states/eV per cell.